Record 1
ThNiRhPb: optimized geometry, PBE.

Unit cell a=4.8696 b=4.8696 c=4.8696 alpha=60.00 beta=60.00 gamma=60.00
Fractional coordinates of all 4 atoms:
Th1 0.0000 0.0000 0.0000
Ni1 0.7500 0.7500 0.7500
Rh1 0.2500 0.2500 0.2500
Pb1 0.5000 0.5000 0.5000


Record 2
Pr5HoHg3: optimized geometry, PBE.

Unit cell a=9.4332 b=9.4332 c=7.0528 alpha=90.00 beta=90.00 gamma=120.00
Fractional coordinates of all 18 atoms:
Pr1 0.0000 0.3356 0.2500
Pr2 0.0000 0.6644 0.7500
Pr3 0.3333 0.6667 0.0000
Pr4 0.3333 0.6667 0.5000
Pr5 0.3356 0.0000 0.2500
Pr6 0.3356 0.3356 0.7500
Pr7 0.6644 0.0000 0.7500
Pr8 0.6644 0.6644 0.2500
Pr9 0.6667 0.3333 0.0000
Pr10 0.6667 0.3333 0.5000
Ho1 0.0000 0.0000 0.0000
Ho2 0.0000 0.0000 0.5000
Hg1 0.0000 0.3255 0.7500
Hg2 0.0000 0.6745 0.2500
Hg3 0.3255 0.0000 0.7500
Hg4 0.3255 0.3255 0.2500
Hg5 0.6745 0.0000 0.2500
Hg6 0.6745 0.6745 0.7500


Record 3
LaTmTlIn: optimized geometry, PBE.

Unit cell a=5.4555 b=5.4555 c=5.4555 alpha=60.00 beta=60.00 gamma=60.00
Fractional coordinates of all 4 atoms:
La1 0.0000 0.0000 0.0000
Tm1 0.5000 0.5000 0.5000
Tl1 0.2500 0.2500 0.2500
In1 0.7500 0.7500 0.7500


Record 4
Be2FeRu: optimized geometry, PBE.

Unit cell a=4.4393 b=4.4393 c=4.4393 alpha=135.77 beta=135.77 gamma=64.34
Fractional coordinates of all 4 atoms:
Be1 0.0000 0.0000 0.0000
Be2 0.7500 0.2500 0.5000
Fe1 0.2500 0.7500 0.5000
Ru1 0.5000 0.5000 0.0000


no.,energy relative to the elements (meV/atom)
1,-358
2,-282
3,-413
4,-94